Below is a geometry-optimized Y6BiP2Se3 structure, with properties calculated at the GGA-PBE level.

Calculated values
Density of states at the Fermi level, states/eV per cell: 4.580
Raw formation energy, eV/atom: -1.61
Symmetry: C2/m, No. 12

Cell and atoms, written as POSCAR:
```
Y6BiP2Se3
1.0
9.0260 -2.0557 0.0000
9.0260 2.0557 0.0000
-1.8864 0.0000 8.1204
Y Bi P Se
6 1 2 3
Direct
0.0104 0.0104 0.2697
0.3255 0.3255 0.8885
0.3265 0.3265 0.4268
0.6735 0.6735 0.5732
0.6745 0.6745 0.1115
0.9896 0.9896 0.7303
0.5000 0.5000 0.0000
0.1686 0.1686 0.3381
0.8314 0.8314 0.6619
0.1625 0.1625 0.8342
0.5000 0.5000 0.5000
0.8375 0.8375 0.1658
```